Entry 1:
This record from Alexandria describes crystalline Ba2MgWN4 at its relaxed geometry. The functional is PBE.

V ... 295 Å³/cell
Spin magnetization ... 0.00 μB/f.u.
Symmetry ... No. 59
E_form (uncorrected) ... -0.859 eV per atom

The structure in extended XYZ format:
```
16
Lattice="-1.680 -3.208 -4.955 5.301 -3.845 0.692 -3.842 -4.535 4.238" Properties=species:S:1:pos:R:3 pbc="T T T"
Ba -0.458 -3.712 -1.243
Ba -2.379 -5.979 0.876
Ba 1.076 -6.272 3.695
Ba 2.997 -4.005 1.576
Mg -2.580 -6.216 -2.703
Mg 3.440 -4.708 -1.919
W 1.546 -6.995 0.204
W -0.686 -3.928 -4.825
N -0.332 -0.835 -1.194
N 2.055 -8.440 -0.880
N 2.873 -6.885 1.525
N -1.199 -2.483 -3.744
N -0.100 -7.454 1.061
N -0.775 -5.517 -3.765
N -2.882 -8.002 -1.442
N 1.636 -5.405 -0.854
```


Entry 2:
This record from Alexandria describes crystalline Ba2MgWN at its relaxed geometry. The functional is PBE.

V ... 207 Å³/cell
Spin magnetization ... 2.04 μB/f.u.
Symmetry ... No. 123
E_form (uncorrected) ... 1.958 eV per atom

The structure in extended XYZ format:
```
5
Lattice="6.409 0.000 0.000 0.000 5.045 0.000 0.000 0.000 6.409" Properties=species:S:1:pos:R:3 pbc="T T T"
Mg 0.000 0.000 0.000
Ba 0.000 0.000 3.205
Ba 3.205 0.000 0.000
W 0.000 2.522 0.000
N 3.205 2.522 3.205
```


Entry 3:
This record from Alexandria describes crystalline Ba3NaMg at its relaxed geometry. The functional is PBE.

V ... 324 Å³/cell
Spin magnetization ... 0.00 μB/f.u.
ΔE_f ... 190 meV per atom
Energy above the lowest structure with this stoichiometry ... 1.02 eV/f.u.
Symmetry ... No. 221

The structure in extended XYZ format:
```
5
Lattice="6.871 0.000 0.000 0.000 6.871 0.000 0.000 0.000 6.871" Properties=species:S:1:pos:R:3 pbc="T T T"
Na 3.435 3.435 3.435
Mg 0.000 0.000 0.000
Ba 0.000 3.435 0.000
Ba 0.000 0.000 3.435
Ba 3.435 0.000 0.000
```


Entry 4:
This record from Alexandria describes crystalline Ba2Na16Mg at its relaxed geometry. The functional is PBE.

V ... 747 Å³/cell
Spin magnetization ... 0.00 μB/f.u.
ΔE_f ... 32 meV per atom
Symmetry ... No. 160

The structure in extended XYZ format:
```
19
Lattice="-1.642 -6.296 -6.417 1.677 -7.341 5.179 -8.666 -1.734 2.324" Properties=species:S:1:pos:R:3 pbc="T T T"
Ba -5.763 -10.262 0.725
Ba -2.961 -5.273 0.372
Na -1.998 -12.304 1.290
Na -7.307 -9.644 -3.262
Na -7.942 -8.765 4.141
Na -2.957 -12.002 -2.062
Na -9.338 -8.325 -0.735
Na -4.952 -10.385 4.967
Na -2.251 -9.072 2.926
Na -3.878 -8.560 -2.760
Na -7.322 -6.323 1.526
Na -6.454 -6.266 -1.916
Na -4.774 -6.795 3.953
Na -1.219 -9.104 -0.471
Na -9.427 -11.726 -1.455
Na -7.800 -12.238 4.227
Na -4.358 -14.474 -0.057
Na -0.816 -1.454 0.103
Mg -7.751 -13.802 0.975
```


Entry 5:
This record from Alexandria describes crystalline Ba3NaMg8 at its relaxed geometry. The functional is PBE.

V ... 393 Å³/cell
Spin magnetization ... 0.00 μB/f.u.
ΔE_f ... -46 meV per atom
Symmetry ... No. 160

The structure in extended XYZ format:
```
12
Lattice="6.224 0.000 1.879 2.828 5.544 1.879 -0.035 -0.021 11.363" Properties=species:S:1:pos:R:3 pbc="T T T"
Ba 3.374 2.067 11.319
Ba 9.019 5.524 3.868
Ba 4.532 2.775 7.485
Na 7.898 4.837 7.581
Mg 7.056 2.416 4.745
Mg 5.374 5.185 10.356
Mg 3.945 2.416 3.806
Mg 8.465 5.185 11.290
Mg 1.692 1.037 5.642
Mg 6.182 3.786 13.267
Mg 5.359 5.188 4.745
Mg 7.061 2.431 10.356
```


Entry 6:
This record from Alexandria describes crystalline Ba3NaMg at its relaxed geometry. The functional is PBE.

V ... 499 Å³/cell
Spin magnetization ... 0.00 μB/f.u.
ΔE_f ... -14 meV per atom
Energy above the lowest structure with this stoichiometry ... 0.00 eV/f.u.
Symmetry ... No. 1

The structure in extended XYZ format:
```
10
Lattice="6.034 -0.029 -1.921 0.049 6.357 -0.016 0.747 0.014 12.766" Properties=species:S:1:pos:R:3 pbc="T T T"
Ba 3.852 2.178 4.539
Ba 5.224 2.180 8.844
Ba 0.854 5.370 5.463
Ba 5.857 2.162 0.395
Ba 2.858 5.357 1.319
Ba 2.228 5.373 9.779
Na 2.897 2.195 11.964
Na 4.559 5.359 6.654
Mg 5.953 5.356 11.032
Mg 1.488 2.191 7.590
```


Entry 7:
This record from Alexandria describes crystalline Ba2Na2Mg at its relaxed geometry. The functional is PBE.

V ... 222 Å³/cell
Spin magnetization ... 0.00 μB/f.u.
ΔE_f ... -32 meV per atom
Energy above the lowest structure with this stoichiometry ... 0.00 eV/f.u.
Symmetry ... No. 139

The structure in extended XYZ format:
```
5
Lattice="-2.926 -2.133 2.532 -1.648 -1.992 -3.584 9.691 -6.492 1.875" Properties=species:S:1:pos:R:3 pbc="T T T"
Ba -0.923 -3.639 -0.277
Ba 6.040 -6.979 1.101
Na 2.003 -7.021 0.256
Na 3.113 -3.597 0.567
Mg 0.000 0.000 0.000
```


Entry 8:
This record from Alexandria describes crystalline BaNaMg2 at its relaxed geometry. The functional is PBE.

V ... 141 Å³/cell
Spin magnetization ... 0.00 μB/f.u.
ΔE_f ... 58 meV per atom
Energy above the lowest structure with this stoichiometry ... 0.00 eV/f.u.
Symmetry ... No. 123

The structure in extended XYZ format:
```
4
Lattice="4.105 0.000 0.000 0.000 4.105 0.000 0.000 0.000 8.355" Properties=species:S:1:pos:R:3 pbc="T T T"
Na 2.052 2.052 0.000
Mg 0.000 0.000 6.607
Mg 0.000 0.000 1.748
Ba 2.052 2.052 4.178
```


The calculation returns the following E values, one per record and in order: -117.13 -16.93 -7.73 -25.94 -20.40 -17.50 -8.24 -6.20 eV for the cell shown.